# 1
Entry from Alexandria: an optimized crystal structure of ZnBRu2 (GGA-PBE).

a b c (Å): 2.869 2.869 7.198
angles (deg): 78.51 78.51 60.00
Element x y z (fractional)
B1 0.000 0.000 0.000
Ru1 0.731 0.731 0.808
Ru2 0.269 0.269 0.192
Zn1 0.500 0.500 0.500

Its size of the total moment is 0.75 μB per cell. The formation energy comes out at -0.070 eV per atom. The energy above the most stable polymorph in this dataset comes out at 10.9 kJ/mol of atoms. The calculation puts the energy at -26.78 eV/f.u.

# 2
Entry from Alexandria: an optimized crystal structure of AcPmSmSb (GGA-PBE).

a b c (Å): 5.620 5.620 5.620
angles (deg): 60.00 60.00 60.00
Element x y z (fractional)
Sb1 0.000 0.000 0.000
Pm1 0.250 0.250 0.250
Ac1 0.500 0.500 0.500
Sm1 0.750 0.750 0.750

Its size of the total moment is 0.00 μB per cell. Its formation energy without anion corrections is -282 meV per atom. The calculation puts the energy at -18.83 eV/f.u.

# 3
Entry from Alexandria: an optimized crystal structure of Sm4CuSb (GGA-PBE).

a b c (Å): 7.151 7.322 7.338
angles (deg): 90.00 92.05 90.00
Element x y z (fractional)
Sm1 0.320 0.335 0.353
Sm2 0.870 0.644 0.170
Sm3 0.680 0.665 0.647
Sm4 0.630 0.144 0.830
Sm5 0.130 0.356 0.830
Sm6 0.820 0.165 0.353
Sm7 0.180 0.835 0.647
Sm8 0.370 0.856 0.170
Sb1 0.500 0.500 0.000
Sb2 0.000 0.000 0.000
Cu1 0.500 0.000 0.500
Cu2 0.000 0.500 0.500

Its size of the total moment is 0.00 μB per cell. Its formation energy without anion corrections is -236 meV per atom. The calculation puts the energy at -28.51 eV/f.u.

# 4
Entry from Alexandria: an optimized crystal structure of SrRe2Tc (GGA-PBE).

a b c (Å): 2.865 2.865 8.884
angles (deg): 90.00 90.00 90.03
Element x y z (fractional)
Sr1 0.500 0.500 0.250
Re1 0.000 0.000 0.950
Re2 0.000 0.000 0.550
Tc1 0.500 0.500 0.750

Its size of the total moment is 0.00 μB per cell. The formation energy comes out at 0.712 eV per atom. The energy above the most stable polymorph in this dataset comes out at 6.0 kJ/mol of atoms. The calculation puts the energy at -34.10 eV/f.u.

# 5
Entry from Alexandria: an optimized crystal structure of Ba3CoH (GGA-PBE).

a b c (Å): 5.426 5.426 5.426
angles (deg): 90.00 90.00 90.00
Element x y z (fractional)
Co1 0.500 0.500 0.500
Ba1 0.500 0.000 0.000
Ba2 0.000 0.000 0.500
Ba3 0.000 0.500 0.000
H1 0.000 0.000 0.000

Its size of the total moment is 0.00 μB per cell. The energy above the most stable polymorph in this dataset comes out at 0.0 kJ/mol of atoms. The calculation puts the energy at -14.37 eV/f.u.

# 6
Entry from Alexandria: an optimized crystal structure of PmHo4Pd4 (GGA-PBE).

a b c (Å): 5.752 9.040 9.040
angles (deg): 90.00 90.00 90.00
Element x y z (fractional)
Ho1 0.913 0.596 0.826
Ho2 0.587 0.096 0.326
Ho3 0.087 0.826 0.404
Ho4 0.587 0.904 0.674
Ho5 0.913 0.404 0.174
Ho6 0.087 0.174 0.596
Ho7 0.413 0.674 0.096
Ho8 0.413 0.326 0.904
Pd1 0.589 0.212 0.628
Pd2 0.411 0.628 0.788
Pd3 0.589 0.788 0.372
Pd4 0.411 0.372 0.212
Pd5 0.089 0.128 0.288
Pd6 0.911 0.712 0.128
Pd7 0.089 0.872 0.712
Pd8 0.911 0.288 0.872
Pm1 0.000 0.000 0.000
Pm2 0.500 0.500 0.500

Its size of the total moment is 0.00 μB per cell. The formation energy comes out at -0.671 eV per atom. The calculation puts the energy at -49.87 eV/f.u.

# 7
Entry from Alexandria: an optimized crystal structure of SnSb4Pb3 (GGA-PBE).

a b c (Å): 6.807 6.807 6.807
angles (deg): 109.45 109.45 109.45
Element x y z (fractional)
Sb1 0.249 0.251 0.682
Sb2 0.818 0.818 0.818
Sb3 0.251 0.682 0.249
Sb4 0.682 0.249 0.251
Pb1 0.751 0.749 0.250
Pb2 0.749 0.250 0.751
Pb3 0.250 0.751 0.749
Sn1 0.250 0.250 0.250

Its size of the total moment is 0.00 μB per cell. Its formation energy without anion corrections is 61 meV per atom. The calculation puts the energy at -31.13 eV/f.u.

# 8
Entry from Alexandria: an optimized crystal structure of YTm3As4 (GGA-PBE).

a b c (Å): 5.765 5.765 5.765
angles (deg): 90.00 90.00 90.00
Element x y z (fractional)
Tm1 0.500 0.500 0.000
Tm2 0.000 0.500 0.500
Tm3 0.500 0.000 0.500
Y1 0.000 0.000 0.000
As1 0.500 0.000 0.000
As2 0.500 0.500 0.500
As3 0.000 0.000 0.500
As4 0.000 0.500 0.000

Its size of the total moment is 0.00 μB per cell. The formation energy comes out at -1.520 eV per atom. The calculation puts the energy at -50.64 eV/f.u.

# 9
Entry from Alexandria: an optimized crystal structure of Zr2CuAs (GGA-PBE).

a b c (Å): 5.455 5.455 3.790
angles (deg): 90.00 90.00 40.56
Element x y z (fractional)
As1 0.450 0.450 0.625
Cu1 0.297 0.297 0.125
Zr1 0.727 0.727 0.625
Zr2 0.026 0.026 0.125

Its size of the total moment is 0.00 μB per cell. The formation energy comes out at -0.708 eV per atom. The calculation puts the energy at -28.67 eV/f.u.

# 10
Entry from Alexandria: an optimized crystal structure of Ba2LaSc (GGA-PBE).

a b c (Å): 6.222 6.222 6.222
angles (deg): 60.00 60.00 60.00
Element x y z (fractional)
Sc1 0.000 0.000 0.000
La1 0.500 0.500 0.500
Ba1 0.750 0.750 0.750
Ba2 0.250 0.250 0.250

Its size of the total moment is 0.00 μB per cell. The formation energy comes out at 0.383 eV per atom. The energy above the most stable polymorph in this dataset comes out at 20.8 kJ/mol of atoms. The calculation puts the energy at -13.57 eV/f.u.

# 11
Entry from Alexandria: an optimized crystal structure of CsKInBi (GGA-PBE).

a b c (Å): 6.105 6.105 6.105
angles (deg): 60.00 60.00 60.00
Element x y z (fractional)
In1 0.000 0.000 0.000
K1 0.500 0.500 0.500
Bi1 0.250 0.250 0.250
Cs1 0.750 0.750 0.750

Its size of the total moment is 0.00 μB per cell. The formation energy comes out at -0.187 eV per atom. The energy above the most stable polymorph in this dataset comes out at 7.9 kJ/mol of atoms. The calculation puts the energy at -9.32 eV/f.u.

# 12
Entry from Alexandria: an optimized crystal structure of Zn2Ga2CuNi5 (GGA-PBE).

a b c (Å): 3.558 8.530 8.530
angles (deg): 90.00 90.00 90.00
Element x y z (fractional)
Ni1 0.500 0.420 0.308
Ni2 0.500 0.692 0.420
Ni3 0.500 0.580 0.692
Ni4 0.500 0.000 0.500
Ni5 0.500 0.308 0.580
Ni6 0.500 0.192 0.080
Ni7 0.500 0.808 0.920
Ni8 0.500 0.080 0.808
Ni9 0.500 0.500 0.000
Ni10 0.500 0.920 0.192
Ga1 0.000 0.130 0.630
Ga2 0.000 0.870 0.370
Ga3 0.000 0.370 0.130
Ga4 0.000 0.630 0.870
Zn1 0.000 0.169 0.331
Zn2 0.000 0.331 0.831
Zn3 0.000 0.831 0.669
Zn4 0.000 0.669 0.169
Cu1 0.000 0.000 0.000
Cu2 0.000 0.500 0.500

Its size of the total moment is 0.00 μB per cell. The formation energy comes out at -0.067 eV per atom. The calculation puts the energy at -42.27 eV/f.u.

# 13
Entry from Alexandria: an optimized crystal structure of AcDyPa (GGA-PBE).

a b c (Å): 3.604 3.604 15.130
angles (deg): 90.00 90.00 90.00
Element x y z (fractional)
Dy1 0.000 0.500 0.578
Dy2 0.500 0.000 0.422
Ac1 0.000 0.500 0.229
Ac2 0.500 0.000 0.771
Pa1 0.000 0.500 0.936
Pa2 0.500 0.000 0.064

Its size of the total moment is 0.00 μB per cell. The formation energy comes out at 0.199 eV per atom. The energy above the most stable polymorph in this dataset comes out at 0.0 kJ/mol of atoms. The calculation puts the energy at -17.61 eV/f.u.